Entry from Alexandria via LeMat-Bulk: crystalline InAu3 at its relaxed geometry (GGA-PBEsol).

Cell: 9.2317 9.2317 2.9277 Å, 90.00 90.00 120.00°
Last column: nearest neighbours and their distance in Å.
Atoms (fractional coordinates):
In: 0.0000 0.0000 0.0000  6 Au 2.84, 2 In 2.93
In: 0.3333 0.6667 0.6667  6 Au 2.84, 2 In 2.93
In: 0.6667 0.3333 0.3333  6 Au 2.84, 2 In 2.93
Au: 0.0000 0.5000 0.0000  2 In 2.84, 6 Au 2.84-2.93
Au: 0.1667 0.3333 0.3333  6 Au 2.84-2.93, 2 In 2.84
Au: 0.1667 0.8333 0.3333  2 In 2.84, 6 Au 2.84-2.93
Au: 0.3333 0.1667 0.6667  6 Au 2.84-2.93, 2 In 2.84
Au: 0.5000 0.0000 0.0000  2 In 2.84, 6 Au 2.84-2.93
Au: 0.5000 0.5000 0.0000  6 Au 2.84-2.93, 2 In 2.84
Au: 0.6667 0.8333 0.3333  6 Au 2.84-2.93, 2 In 2.84
Au: 0.8333 0.1667 0.6667  2 In 2.84, 6 Au 2.84-2.93
Au: 0.8333 0.6667 0.6667  6 Au 2.84-2.93, 2 In 2.84

**Energy of formation from the pure elements**: -0.04 eV/atom
**DOS(E_F)**: 1.07 states/eV/f.u.
**Crystal system**: trigonal
**Spin magnetization**: 0.0 μB per formula unit



Entry from Alexandria via LeMat-Bulk: crystalline InAu2 at its relaxed geometry (GGA-PBEsol).

Cell: 4.7363 4.7363 5.6980 Å, 90.00 90.00 120.00°
Last column: nearest neighbours and their distance in Å.
Atoms (fractional coordinates):
In: 0.3333 0.6667 0.2500  5 Au 2.73-2.85
In: 0.6667 0.3333 0.7500  5 Au 2.73-2.85
Au: 0.0000 0.0000 0.0000  8 Au 2.85-3.08, 6 In 3.08
Au: 0.0000 0.0000 0.5000  8 Au 2.85-3.08, 6 In 3.08
Au: 0.3333 0.6667 0.7500  5 In 2.73-2.85
Au: 0.6667 0.3333 0.2500  5 In 2.73-2.85

**Energy of formation from the pure elements**: -0.10 eV/atom
**DOS(E_F)**: 0.81 states/eV/f.u.
**Crystal system**: hexagonal
**Spin magnetization**: 0.0 μB per formula unit



Entry from Alexandria via LeMat-Bulk: crystalline InIr2Au at its relaxed geometry (GGA-PBEsol).

Cell: 2.8387 3.8834 5.8331 Å, 90.00 90.00 90.00°
Last column: nearest neighbours and their distance in Å.
Atoms (fractional coordinates):
In: 0.0000 0.0000 0.0000  6 Ir 2.79-3.04, 2 In 2.84, 4 Au 2.86
Ir: 0.0000 0.0000 0.4784  6 Ir 2.71-2.84, 1 In 2.79, 4 Au 2.83
Ir: 0.5000 0.5000 0.2628  6 Ir 2.71-2.84, 1 Au 2.75, 4 In 2.85
Au: 0.5000 0.5000 0.7351  6 Ir 2.75-3.08, 2 Au 2.84, 4 In 2.86

**Energy of formation from the pure elements**: 0.19 eV/atom
**DOS(E_F)**: 3.98 states/eV/f.u.
**Crystal system**: orthorhombic
**Spin magnetization**: 0.0 μB per formula unit



Entry from Alexandria via LeMat-Bulk: crystalline InIrAu at its relaxed geometry (GGA-PBEsol).

Cell: 2.9853 2.9853 6.6133 Å, 90.00 90.00 120.00°
Last column: nearest neighbours and their distance in Å.
Atoms (fractional coordinates):
In: 0.0000 0.0000 0.0000  3 Ir 2.72, 3 Au 2.86, 6 In 2.99
Ir: 0.3333 0.6667 0.6813  3 In 2.72, 3 Au 2.82, 6 Ir 2.99
Au: 0.6667 0.3333 0.3446  3 Ir 2.82, 3 In 2.86, 6 Au 2.99

**Energy of formation from the pure elements**: 0.21 eV/atom
**DOS(E_F)**: 1.54 states/eV/f.u.
**Crystal system**: trigonal
**ΔE to the lowest computed polymorph**: 0.03 eV per formula unit
**Spin magnetization**: 0.0 μB per formula unit



Question: Which of these has the highest DOS(E_F)?
Answer: InIr2Au